1.
First-principles (PBE) data for FeCoSn2 after structural relaxation, as listed in Alexandria.

Computed properties:
Raw total energy = -22.8 eV for the cell shown
Crystal system = cubic
Space group = Fm-3m
Size of the total moment = 1.6 μB per formula unit

Cell lengths 4.4555, 4.4555, 4.4555 Å; angles 60.00, 60.00, 60.00 degrees
Sites, in units of the cell vectors:
Co  0.5000  0.5000  0.5000
Sn  0.2500  0.2500  0.2500
Sn  0.7500  0.7500  0.7500
Fe  0.0000  0.0000  0.0000

2.
First-principles (PBE) data for FeCo3Sn after structural relaxation, as listed in Alexandria.

Computed properties:
Raw total energy = -29.4 eV for the cell shown
Crystal system = cubic
Space group = Pm-3m
Size of the total moment = 7.4 μB per formula unit

Cell lengths 4.3051, 4.3051, 4.3051 Å; angles 90.00, 90.00, 90.00 degrees
Sites, in units of the cell vectors:
Co  0.0000  0.5000  0.0000
Co  0.0000  0.0000  0.5000
Co  0.5000  0.0000  0.0000
Sn  0.5000  0.5000  0.5000
Fe  0.0000  0.0000  0.0000

3.
First-principles (PBE) data for FeCoSn2 after structural relaxation, as listed in Alexandria.

Computed properties:
Raw total energy = -71.1 eV for the cell shown
Crystal system = monoclinic
Space group = P2/m
Size of the total moment = 1.6 μB per formula unit

Cell lengths 4.3281, 5.1673, 9.3769 Å; angles 89.73, 90.00, 90.00 degrees
Sites, in units of the cell vectors:
Fe  0.0000  0.5000  0.5000
Fe  0.0000  0.5000  0.0000
Fe  0.0000  0.0000  0.5000
Co  0.0000  0.2580  0.2489
Co  0.0000  0.7420  0.7511
Co  0.0000  0.0000  0.0000
Sn  0.5000  0.2488  0.0880
Sn  0.5000  0.7494  0.5874
Sn  0.5000  0.7512  0.9120
Sn  0.5000  0.2506  0.4126
Sn  0.0000  0.2432  0.7495
Sn  0.0000  0.7568  0.2505

4.
First-principles (PBE) data for FeCoSn after structural relaxation, as listed in Alexandria.

Computed properties:
Raw total energy = -37.5 eV for the cell shown
Crystal system = hexagonal
Space group = P6_3/mmc
Size of the total moment = 3.3 μB per formula unit

Cell lengths 4.3920, 4.3920, 5.1921 Å; angles 90.00, 90.00, 120.00 degrees
Sites, in units of the cell vectors:
Fe  0.6667  0.3333  0.2500
Fe  0.3333  0.6667  0.7500
Co  0.0000  0.0000  0.0000
Co  0.0000  0.0000  0.5000
Sn  0.6667  0.3333  0.7500
Sn  0.3333  0.6667  0.2500

5.
First-principles (PBE) data for FeCo2Sn2 after structural relaxation, as listed in Alexandria.

Computed properties:
Raw total energy = -59.7 eV for the cell shown
Crystal system = tetragonal
Space group = P4/mbm
Size of the total moment = 4.3 μB per formula unit

Cell lengths 6.4609, 6.4609, 3.7138 Å; angles 90.00, 90.00, 90.00 degrees
Sites, in units of the cell vectors:
Co  0.3647  0.8647  0.0000
Co  0.8647  0.6353  0.0000
Co  0.6353  0.1353  0.0000
Co  0.1353  0.3647  0.0000
Sn  0.1696  0.6696  0.5000
Sn  0.6696  0.8304  0.5000
Sn  0.8304  0.3304  0.5000
Sn  0.3304  0.1696  0.5000
Fe  0.0000  0.0000  0.0000
Fe  0.5000  0.5000  0.0000

6.
First-principles (PBE) data for FeCoSn after structural relaxation, as listed in Alexandria.

Computed properties:
Raw total energy = -19.3 eV for the cell shown
Crystal system = cubic
Space group = F-43m
Size of the total moment = 3.0 μB per formula unit

Cell lengths 4.0916, 4.0916, 4.0916 Å; angles 60.00, 60.00, 60.00 degrees
Sites, in units of the cell vectors:
Co  0.2500  0.2500  0.2500
Sn  0.0000  0.0000  0.0000
Fe  0.5000  0.5000  0.5000

7.
First-principles (PBE) data for ZrFeCoSn after structural relaxation, as listed in Alexandria.

Computed properties:
Raw total energy = -29.2 eV for the cell shown
Crystal system = cubic
Space group = F-43m
Size of the total moment = 1.0 μB per formula unit

Cell lengths 4.4327, 4.4327, 4.4327 Å; angles 60.00, 60.00, 60.00 degrees
Sites, in units of the cell vectors:
Co  0.0000  0.0000  0.0000
Sn  0.2500  0.2500  0.2500
Zr  0.7500  0.7500  0.7500
Fe  0.5000  0.5000  0.5000

8.
First-principles (PBE) data for SrFeCo2 after structural relaxation, as listed in Alexandria.

Computed properties:
Raw total energy = -21.7 eV for the cell shown
Crystal system = orthorhombic
Space group = Imm2
Size of the total moment = 5.7 μB per formula unit

Cell lengths 5.5315, 5.5315, 5.5315 Å; angles 149.59, 127.45, 61.93 degrees
Sites, in units of the cell vectors:
Co  0.0444  0.0444  0.0000
Co  0.2485  0.7485  0.5000
Fe  0.4547  0.4547  0.0000
Sr  0.7525  0.2525  0.5000

Calculated formation enthalpy at 0 K, 205, 876, -31, 271, 163, 99, -273, 663 meV per atom (same order as the records).